Below is an optimized crystal structure of KCu5Te4, with properties calculated at the GGA-PBE level.

Unit cell a=11.778 b=11.779 c=3.855 alpha=90.00 beta=90.00 gamma=90.00
Atoms (fractional coordinates):
K 0.250 0.250 0.075
K 0.750 0.750 0.925
Cu 0.139 0.639 0.982
Cu 0.139 0.861 0.982
Cu 0.250 0.750 0.481
Cu 0.361 0.639 0.982
Cu 0.361 0.861 0.982
Cu 0.639 0.139 0.018
Cu 0.639 0.361 0.018
Cu 0.750 0.250 0.519
Cu 0.861 0.139 0.018
Cu 0.861 0.361 0.018
Te 0.014 0.750 0.415
Te 0.250 0.513 0.552
Te 0.250 0.987 0.552
Te 0.486 0.750 0.415
Te 0.514 0.250 0.585
Te 0.750 0.013 0.448
Te 0.750 0.487 0.448
Te 0.986 0.250 0.585

Values from the calculation:
Total energy: -3.4689 eV/atom
Space-group type: Pmmn, No. 59
ΔE_f (raw): -0.054 eV/atom